DFT (GGA-PBE) results for a geometry-optimized Dy3CoTe structure.

The structure belongs to space group Cmc2_1 (No. 36); the cell edges are 4.037, 15.949 and 8.384 Å and the angles 90.00°, 90.00° and 90.00°. Symmetry generates all atoms from Dy at (0.000, 0.073, 0.000), Dy at (0.000, 0.228, 0.579), Dy at (0.000, 0.394, 0.832), Co at (0.000, 0.188, 0.223) and Te at (0.000, 0.424, 0.197).

For the energy relative to the lowest polymorph listed for this composition, the calculation gives 0.158 eV/atom. For the total energy, the calculation gives -5.30 eV/atom.